The following is a DFT calculation (GGA+U) of NpTaVO6 after structural relaxation.

The structure belongs to space group P-31c (No. 163); the cell edges are 5.2257, 5.2257 and 9.7698 Å and the angles 90.00°, 90.00° and 120.00°. The distinct sites, in fractional coordinates, are Np at (0.0000, 0.0000, 0.0000), Ta at (0.3333, 0.6667, 0.2500), V at (0.3333, 0.6667, 0.7500) and O at (0.0062, 0.3521, 0.1372).



The following is a DFT calculation (GGA+U) of NpTaV2O6 after structural relaxation.

The structure belongs to space group R3 (No. 146, hexagonal axes); the cell edges are 5.4625, 5.4625 and 14.9083 Å and the angles 90.00°, 90.00° and 120.00°. The distinct sites, in fractional coordinates, are Np at (0.0000, 0.0000, 0.0000), Ta at (0.0000, 0.0000, 0.4898), V at (0.0000, 0.0000, 0.2885), V at (0.0000, 0.0000, 0.7926), O at (0.0016, 0.6475, 0.2173) and O at (0.0232, 0.2921, 0.3943).



no.,uncorrected energy (eV/atom),calculated volume (Å³/atom)
1,-9.567,12.84
2,-9.267,12.84